1.
The following is a DFT calculation (GGA-PBE) of a relaxed structure of YSbH.

a b c (Å): 5.997 5.997 6.172
angles (deg): 119.76 119.76 39.74
Fractional positions:
Y 0.200 0.200 0.166
Y 0.800 0.800 0.834
Sb 0.481 0.481 0.726
Sb 0.519 0.519 0.274
H 0.219 0.219 0.835
H 0.781 0.781 0.165

## Properties
As for the space-group type: C2/m (12). For the distance to the lowest polymorph of the same formula, the calculation gives 0.000 eV per atom. The value obtained for the density of states at the Fermi level is 0.225 states/eV per atom.


2.
The following is a DFT calculation (GGA-PBE) of a relaxed structure of Ca2MgAl4Pd3.

a b c (Å): 4.149 4.149 11.544
angles (deg): 90.00 90.00 90.00
Fractional positions:
Ca 0.000 0.500 0.238
Ca 0.500 0.000 0.762
Mg 0.000 0.000 0.500
Al 0.000 0.000 0.000
Al 0.000 0.500 0.651
Al 0.500 0.000 0.349
Al 0.500 0.500 0.000
Pd 0.000 0.500 0.871
Pd 0.500 0.000 0.129
Pd 0.500 0.500 0.500

## Properties
As for the space-group type: P-4m2 (115). The value obtained for the formation energy is -0.61 eV/atom. The value obtained for the density of states at the Fermi level is 0.549 states/eV per atom.


3.
The following is a DFT calculation (GGA-PBE) of a relaxed structure of K3RuAu.

a b c (Å): 6.105 6.105 6.105
angles (deg): 90.00 90.00 90.00
Fractional positions:
K 0.000 0.000 0.500
K 0.000 0.500 0.000
K 0.500 0.000 0.000
Ru 0.000 0.000 0.000
Au 0.500 0.500 0.500

## Properties
As for the space-group type: Pm-3m (221). The value obtained for the formation energy is 0.85 eV/atom. The value obtained for the density of states at the Fermi level is 0.459 states/eV per atom.


4.
The following is a DFT calculation (GGA-PBE) of a relaxed structure of La2Pm4Pr2Ho.

a b c (Å): 9.782 9.782 9.854
angles (deg): 115.12 115.12 21.85
Fractional positions:
La 0.165 0.165 0.000
La 0.835 0.835 0.000
Pm 0.019 0.019 0.329
Pm 0.315 0.315 0.666
Pm 0.685 0.685 0.334
Pm 0.981 0.981 0.671
Pr 0.353 0.353 0.334
Pr 0.647 0.647 0.666
Ho 0.500 0.500 0.000

## Properties
As for the space-group type: C2/m (12). The value obtained for the formation energy is 0.01 eV/atom. The value obtained for the density of states at the Fermi level is 1.415 states/eV per atom.


5.
The following is a DFT calculation (GGA-PBE) of a relaxed structure of Tm2PS.

a b c (Å): 7.081 7.081 7.081
angles (deg): 31.44 31.44 31.44
Fractional positions:
Tm 0.000 0.000 0.000
Tm 0.179 0.179 0.179
P 0.591 0.591 0.591
S 0.421 0.421 0.421

## Properties
As for the space-group type: R3m (160). For the distance to the lowest polymorph of the same formula, the calculation gives 0.103 eV per atom. The formation energy from raw total energies comes out at -1740 meV/atom. The value obtained for the density of states at the Fermi level is 0.584 states/eV per atom.


6.
The following is a DFT calculation (GGA-PBE) of a relaxed structure of Zr2CdAg.

a b c (Å): 3.508 3.508 6.902
angles (deg): 90.00 90.00 90.00
Fractional positions:
Zr 0.000 0.000 0.000
Zr 0.500 0.500 0.273
Cd 0.500 0.500 0.740
Ag 0.000 0.000 0.515

## Properties
As for the space-group type: P4mm (99). The value obtained for the formation energy is -0.08 eV/atom. The value obtained for the density of states at the Fermi level is 0.353 states/eV per atom.


7.
The following is a DFT calculation (GGA-PBE) of a relaxed structure of SmSc2HgO.

a b c (Å): 4.512 4.512 4.803
angles (deg): 90.00 90.00 90.00
Fractional positions:
Sm 0.000 0.000 0.000
Sc 0.000 0.500 0.500
Sc 0.500 0.000 0.500
Hg 0.500 0.500 0.000
O 0.000 0.000 0.500

## Properties
As for the space-group type: P4/mmm (123). The formation energy from raw total energies comes out at -1389 meV/atom. The value obtained for the density of states at the Fermi level is 0.576 states/eV per atom.


8.
The following is a DFT calculation (GGA-PBE) of a relaxed structure of Pr2BeSnPt6.

a b c (Å): 5.879 5.879 7.458
angles (deg): 113.05 113.05 60.06
Fractional positions:
Pr 0.225 0.225 0.172
Pr 0.775 0.775 0.828
Be 0.000 0.000 0.500
Sn 0.500 0.500 0.000
Pt 0.234 0.713 0.684
Pt 0.235 0.235 0.686
Pt 0.287 0.766 0.316
Pt 0.713 0.234 0.684
Pt 0.765 0.765 0.314
Pt 0.766 0.287 0.316

## Properties
As for the space-group type: C2/m (12). The value obtained for the formation energy is -0.76 eV/atom. The value obtained for the density of states at the Fermi level is 0.317 states/eV per atom.


9.
The following is a DFT calculation (GGA-PBE) of a relaxed structure of ZrRe2Ag.

a b c (Å): 2.856 4.192 5.845
angles (deg): 90.00 96.87 90.00
Fractional positions:
Zr 0.000 0.000 0.000
Re 0.101 0.000 0.546
Re 0.510 0.500 0.727
Ag 0.555 0.500 0.260

## Properties
As for the space-group type: Pm (6). The value obtained for the formation energy is 0.20 eV/atom. For the distance to the lowest polymorph of the same formula, the calculation gives 0.078 eV per atom. The value obtained for the density of states at the Fermi level is 0.856 states/eV per atom.


10.
The following is a DFT calculation (GGA-PBE) of a relaxed structure of KFeSi2.

a b c (Å): 5.550 5.550 5.550
angles (deg): 136.37 104.96 91.04
Fractional positions:
K 0.000 0.000 0.000
Fe 0.500 0.500 0.000
Si 0.352 0.852 0.500
Si 0.648 0.148 0.500

## Properties
As for the space-group type: Immm (71). For the distance to the lowest polymorph of the same formula, the calculation gives 0.470 eV per atom. The formation energy from raw total energies comes out at 515 meV/atom. The value obtained for the density of states at the Fermi level is 1.271 states/eV per atom.


11.
The following is a DFT calculation (GGA-PBE) of a relaxed structure of FeSiTc2.

a b c (Å): 3.046 4.058 4.274
angles (deg): 90.00 90.00 90.00
Fractional positions:
Fe 0.000 0.000 0.000
Si 0.500 0.000 0.500
Tc 0.000 0.500 0.500
Tc 0.500 0.500 0.000

## Properties
As for the space-group type: Pmmm (47). The formation energy from raw total energies comes out at -50 meV/atom. The value obtained for the density of states at the Fermi level is 0.980 states/eV per atom.


12.
The following is a DFT calculation (GGA-PBE) of a relaxed structure of Be2AgMo.

a b c (Å): 5.201 5.201 5.201
angles (deg): 106.06 106.06 116.53
Fractional positions:
Be 0.117 0.625 0.992
Be 0.375 0.367 0.492
Be 0.633 0.125 0.008
Be 0.875 0.883 0.508
Ag 0.000 0.000 0.000
Ag 0.750 0.250 0.500
Mo 0.250 0.750 0.500
Mo 0.500 0.500 0.000

## Properties
As for the space-group type: I-42d (122). The value obtained for the formation energy is 0.63 eV/atom. For the distance to the lowest polymorph of the same formula, the calculation gives 0.508 eV per atom. The value obtained for the density of states at the Fermi level is 0.640 states/eV per atom.


13.
The following is a DFT calculation (GGA-PBE) of a relaxed structure of La8Sm5Th.

a b c (Å): 7.051 8.814 9.543
angles (deg): 64.57 70.94 75.60
Fractional positions:
La 0.000 0.000 0.000
La 0.035 0.196 0.262
La 0.142 0.584 0.276
La 0.320 0.356 0.830
La 0.559 0.303 0.136
La 0.615 0.484 0.404
La 0.696 0.864 0.438
La 0.747 0.057 0.693
Sm 0.183 0.772 0.548
Sm 0.274 0.147 0.575
Sm 0.469 0.913 0.113
Sm 0.841 0.443 0.716
Sm 0.892 0.635 0.968
Th 0.412 0.727 0.857

## Properties
As for the space-group type: P1 (1). The value obtained for the formation energy is 0.05 eV/atom. The value obtained for the density of states at the Fermi level is 1.887 states/eV per atom.


14.
The following is a DFT calculation (GGA-PBE) of a relaxed structure of Li3CuAg.

a b c (Å): 6.043 4.042 6.219
angles (deg): 90.00 90.78 90.00
Fractional positions:
Li 0.051 0.250 0.348
Li 0.259 0.250 0.750
Li 0.447 0.250 0.173
Li 0.553 0.750 0.827
Li 0.741 0.750 0.250
Li 0.949 0.750 0.652
Cu 0.370 0.750 0.455
Cu 0.630 0.250 0.545
Ag 0.161 0.750 0.064
Ag 0.839 0.250 0.936

## Properties
As for the space-group type: P2_1/m (11). The value obtained for the formation energy is -0.10 eV/atom. For the distance to the lowest polymorph of the same formula, the calculation gives 0.000 eV per atom. The value obtained for the density of states at the Fermi level is 0.366 states/eV per atom.


15.
The following is a DFT calculation (GGA-PBE) of a relaxed structure of NiSe2Br.

a b c (Å): 6.828 5.232 12.394
angles (deg): 90.00 118.07 90.00
Fractional positions:
Ni 0.051 0.188 0.391
Ni 0.051 0.312 0.891
Ni 0.949 0.688 0.109
Ni 0.949 0.812 0.609
Se 0.218 0.613 0.051
Se 0.218 0.887 0.551
Se 0.352 0.048 0.029
Se 0.352 0.452 0.529
Se 0.648 0.548 0.471
Se 0.648 0.952 0.971
Se 0.782 0.113 0.449
Se 0.782 0.387 0.949
Br 0.186 0.007 0.258
Br 0.186 0.493 0.758
Br 0.814 0.507 0.242
Br 0.814 0.993 0.742

## Properties
As for the space-group type: P2_1/c (14). For the distance to the lowest polymorph of the same formula, the calculation gives 0.095 eV per atom. The formation energy from raw total energies comes out at -143 meV/atom. The value obtained for the density of states at the Fermi level is 0.102 states/eV per atom.


16.
The following is a DFT calculation (GGA-PBE) of a relaxed structure of NaNb2Sb.

a b c (Å): 6.262 6.262 6.262
angles (deg): 101.68 101.68 126.51
Fractional positions:
Na 0.000 0.000 0.000
Na 0.750 0.250 0.500
Nb 0.150 0.625 0.025
Nb 0.375 0.400 0.525
Nb 0.600 0.125 0.975
Nb 0.875 0.850 0.475
Sb 0.250 0.750 0.500
Sb 0.500 0.500 0.000

## Properties
As for the space-group type: I-42d (122). The formation energy from raw total energies comes out at 713 meV/atom. The value obtained for the density of states at the Fermi level is 0.466 states/eV per atom.


17.
The following is a DFT calculation (GGA-PBE) of a relaxed structure of Nd8Sm3Sc2.

a b c (Å): 10.708 10.708 5.757
angles (deg): 90.04 90.04 42.75
Fractional positions:
Nd 0.094 0.682 0.000
Nd 0.180 0.180 0.501
Nd 0.318 0.906 0.000
Nd 0.366 0.366 0.500
Nd 0.634 0.634 0.500
Nd 0.682 0.094 0.000
Nd 0.820 0.820 0.499
Nd 0.906 0.318 0.000
Sm 0.211 0.789 0.500
Sm 0.500 0.500 0.000
Sm 0.789 0.211 0.500
Sc 0.260 0.260 0.001
Sc 0.740 0.740 0.999

## Properties
As for the space-group type: C2/m (12). The value obtained for the formation energy is 0.22 eV/atom. The value obtained for the density of states at the Fermi level is 1.465 states/eV per atom.


18.
The following is a DFT calculation (GGA-PBE) of a relaxed structure of PaNb.

a b c (Å): 6.060 6.060 5.820
angles (deg): 117.74 117.74 28.30
Fractional positions:
Pa 0.117 0.117 0.233
Pa 0.883 0.883 0.767
Nb 0.144 0.144 0.739
Nb 0.856 0.856 0.261

## Properties
As for the space-group type: C2/m (12). The value obtained for the formation energy is 0.39 eV/atom. For the distance to the lowest polymorph of the same formula, the calculation gives 0.372 eV per atom. The value obtained for the density of states at the Fermi level is 1.483 states/eV per atom.


19.
The following is a DFT calculation (GGA-PBE) of a relaxed structure of LaTb5Ho7.

a b c (Å): 8.699 8.699 8.699
angles (deg): 134.96 100.36 96.52
Fractional positions:
La 0.000 0.000 0.000
Tb 0.028 0.032 0.466
Tb 0.028 0.562 0.996
Tb 0.302 0.802 0.500
Tb 0.566 0.032 0.004
Tb 0.566 0.562 0.534
Ho 0.217 0.549 0.669
Ho 0.301 0.301 0.000
Ho 0.381 0.049 0.332
Ho 0.606 0.606 0.000
Ho 0.717 0.049 0.668
Ho 0.794 0.294 0.500
Ho 0.880 0.549 0.331

## Properties
As for the space-group type: Imm2 (44). The value obtained for the formation energy is 0.24 eV/atom. The value obtained for the density of states at the Fermi level is 1.766 states/eV per atom.


20.
The following is a DFT calculation (GGA-PBE) of a relaxed structure of Sm12Tl5Ir2.

a b c (Å): 9.520 9.520 9.874
angles (deg): 104.70 104.70 49.00
Fractional positions:
Sm 0.001 0.001 0.235
Sm 0.073 0.600 0.908
Sm 0.103 0.597 0.426
Sm 0.400 0.927 0.092
Sm 0.403 0.897 0.574
Sm 0.489 0.489 0.175
Sm 0.511 0.511 0.825
Sm 0.597 0.103 0.426
Sm 0.600 0.073 0.908
Sm 0.897 0.403 0.574
Sm 0.927 0.400 0.092
Sm 0.999 0.999 0.765
Tl 0.192 0.192 0.839
Tl 0.198 0.198 0.367
Tl 0.500 0.500 0.500
Tl 0.802 0.802 0.633
Tl 0.808 0.808 0.161
Ir 0.217 0.783 0.000
Ir 0.783 0.217 0.000

## Properties
As for the space-group type: C2/m (12). The value obtained for the formation energy is -0.22 eV/atom. The value obtained for the density of states at the Fermi level is 0.940 states/eV per atom.